(1)
A relaxed Tb2Cd3Ag2 crystal. Source: the Alexandria database, functional PBE.

Cell: 5.547 5.547 7.362 Å, 108.16 108.16 49.81°
Fractional positions:
Tb1 0.137 0.137 0.273
Tb2 0.863 0.863 0.727
Cd1 0.380 0.380 0.067
Cd2 0.500 0.500 0.500
Cd3 0.620 0.620 0.933
Ag1 0.158 0.158 0.700
Ag2 0.842 0.842 0.300

Calculated values
For the excess energy over the best structure of this formula in the dataset, the calculation gives 0 meV per atom. The value obtained for the calculated density is 8.90 g cm⁻³. For the energy of formation from the pure elements, the calculation gives -0.277 eV/atom.

---

(2)
A relaxed TbCd10Ag2 crystal. Source: the Alexandria database, functional PBE.

Cell: 9.947 7.626 7.585 Å, 81.68 49.34 48.99°
Fractional positions:
Tb1 0.000 0.000 0.000
Cd1 0.000 0.500 0.000
Cd2 0.007 0.652 0.348
Cd3 0.289 0.504 0.496
Cd4 0.348 0.993 0.007
Cd5 0.496 0.711 0.289
Cd6 0.500 0.000 0.500
Cd7 0.504 0.289 0.711
Cd8 0.652 0.007 0.993
Cd9 0.711 0.496 0.504
Cd10 0.993 0.348 0.652
Ag1 0.000 0.000 0.500
Ag2 0.500 0.500 0.000

Calculated values
The value obtained for the calculated density is 8.69 g cm⁻³. For the energy of formation from the pure elements, the calculation gives -0.096 eV/atom.